The following is a DFT calculation (GGA+U) of a relaxed Fe3O4F2 crystal.

The space group is C2 (No. 5) and the conventional cell measures 6.586, 6.574 and 9.212 Å, with angles of 90.00, 90.02 and 90.00 degrees. The asymmetric unit holds Fe at (0.000, 0.000, 0.000), Fe at (0.000, 0.491, 0.500), Fe at (0.006, 0.027, 0.341), Fe at (0.027, 0.498, 0.842), O at (0.000, 0.300, 0.000), O at (0.000, 0.700, 0.000), O at (0.010, 0.321, 0.671), O at (0.177, 0.005, 0.166), O at (0.199, 0.013, 0.503), F at (0.008, 0.709, 0.669) and F at (0.208, 0.006, 0.830).

The density of states at the Fermi level comes out at 12.22 states/eV/cell. For the total energy, the calculation gives -6.061 eV per atom. Its relative energy among the computed polymorphs is 0.036 eV per atom.